# Ba3B6H2O13

A geometry-optimized Ba3B6H2O13 structure (GGA-PBEsol, Alexandria).

## Properties
DFT total energy = -7.687 eV per atom
Symmetry = No. 7

abc: 6.9697 7.0182 11.2679
angles: 90.00 90.05 90.00
With the nearest neighbours (Å) after each atom.
Positions (direct):
Ba 0.0000 0.1423 0.0000  7 O 2.70-3.00, 1 H 2.73
Ba 0.0000 0.8577 0.5000  7 O 2.70-3.00, 1 H 2.73
Ba 0.2982 0.2491 0.6730  8 O 2.71-3.00, 1 H 2.76
Ba 0.2982 0.7509 0.1730  8 O 2.71-3.00, 1 H 2.76
Ba 0.6212 0.2317 0.2890  8 O 2.68-2.91
Ba 0.6212 0.7683 0.7890  8 O 2.68-2.91
B 0.1716 0.2573 0.2887  3 O 1.35-1.42
B 0.1716 0.7427 0.7887  3 O 1.35-1.42
B 0.3117 0.4933 0.9301  4 O 1.45-1.50
B 0.3117 0.5067 0.4301  4 O 1.45-1.50
B 0.4893 0.1820 0.9730  3 O 1.34-1.41
B 0.4893 0.8180 0.4730  3 O 1.34-1.41
B 0.6520 0.4930 0.0297  4 O 1.46-1.49
B 0.6520 0.5070 0.5297  4 O 1.46-1.49
B 0.8030 0.2594 0.6653  4 O 1.47-1.50
B 0.8030 0.7406 0.1653  4 O 1.47-1.50
B 0.9777 0.3541 0.4716  4 O 1.46-1.51
B 0.9777 0.6459 0.9716  4 O 1.46-1.51
H 0.6162 0.0654 0.5832  1 O 1.03
H 0.6162 0.9346 0.0832  1 O 1.03
H 0.8605 0.3784 0.8273  1 O 1.00
H 0.8605 0.6216 0.3273  1 O 1.00
O 0.0190 0.2271 0.3667  2 B 1.40-1.51
O 0.0190 0.7729 0.8667  2 B 1.40-1.51
O 0.1394 0.4802 0.5005  2 B 1.45-1.47
O 0.1394 0.5198 0.0005  2 B 1.45-1.47
O 0.2147 0.1363 0.2000  1 B 1.35
O 0.2147 0.8637 0.7000  1 B 1.35
O 0.2857 0.4212 0.3087  2 B 1.42-1.50
O 0.2857 0.5788 0.8087  2 B 1.42-1.50
O 0.3455 0.2845 0.9131  2 B 1.41-1.50
O 0.3455 0.7155 0.4131  2 B 1.41-1.50
O 0.4756 0.4184 0.4867  2 B 1.45-1.46
O 0.4756 0.5816 0.9867  2 B 1.45-1.46
O 0.4941 0.0090 0.4685  1 B 1.34
O 0.4941 0.9910 0.9685  1 B 1.34
O 0.6280 0.2817 0.0376  2 B 1.40-1.49
O 0.6280 0.7183 0.5376  2 B 1.40-1.49
O 0.6687 0.0934 0.6669  1 H 1.03
O 0.6687 0.9066 0.1669  1 H 1.03
O 0.7013 0.4409 0.6486  2 B 1.46-1.47
O 0.7013 0.5591 0.1486  2 B 1.46-1.47
O 0.8084 0.4697 0.4431  2 B 1.47-1.49
O 0.8084 0.5303 0.9431  2 B 1.47-1.49
O 0.9055 0.2654 0.7805  1 H 1.00
O 0.9055 0.7346 0.2805  1 H 1.00
O 0.9427 0.2224 0.5696  2 B 1.46-1.48
O 0.9427 0.7776 0.0696  2 B 1.46-1.48